First-principles (PBE) data for a relaxed LaLuCu crystal, as listed in Alexandria.

Calculated values
The calculation puts the formation energy at -0.368 eV/f.u.

Unit cell a=3.520 b=3.520 c=6.770 alpha=105.07 beta=105.07 gamma=90.00
Element x y z (fractional)
1 Lu 0.296 0.296 0.592
2 Cu 0.685 0.685 0.369
3 La 0.019 0.019 0.038

=====

First-principles (PBE) data for a relaxed LaLuCu2 crystal, as listed in Alexandria.

Calculated values
The calculation puts the formation energy at -0.886 eV/f.u. The calculation puts the energy above the most stable polymorph in this dataset at 0.0 meV/atom.

Unit cell a=3.475 b=3.475 c=7.199 alpha=90.00 beta=90.00 gamma=90.00
Element x y z (fractional)
1 Cu 0.000 0.000 0.787
2 Cu 0.000 0.000 0.213
3 La 0.500 0.500 0.500
4 Lu 0.500 0.500 0.000

=====

First-principles (PBE) data for a relaxed LaLuCuNi crystal, as listed in Alexandria.

Calculated values
The calculation puts the formation energy at -1.071 eV/f.u.

Unit cell a=4.924 b=4.924 c=4.924 alpha=60.00 beta=60.00 gamma=60.00
Element x y z (fractional)
1 Lu 0.000 0.000 0.000
2 Ni 0.750 0.750 0.750
3 Cu 0.250 0.250 0.250
4 La 0.500 0.500 0.500

=====

First-principles (PBE) data for a relaxed LaLuCuRu crystal, as listed in Alexandria.

Calculated values
The calculation puts the formation energy at -1.012 eV/f.u.

Unit cell a=4.930 b=4.930 c=4.930 alpha=60.00 beta=60.00 gamma=60.00
Element x y z (fractional)
1 Cu 0.750 0.750 0.750
2 Lu 0.500 0.500 0.500
3 La 0.000 0.000 0.000
4 Ru 0.250 0.250 0.250

=====

First-principles (PBE) data for a relaxed LaLuCuSi crystal, as listed in Alexandria.

Calculated values
The uncorrected formation energy comes out at -382 meV/atom.

Unit cell a=5.025 b=5.025 c=5.025 alpha=60.00 beta=60.00 gamma=60.00
Element x y z (fractional)
1 Si 0.250 0.250 0.250
2 Lu 0.500 0.500 0.500
3 La 0.000 0.000 0.000
4 Cu 0.750 0.750 0.750

=====

First-principles (PBE) data for a relaxed LaLuCuTc crystal, as listed in Alexandria.

Calculated values
The calculation puts the formation energy at -0.138 eV/f.u.

Unit cell a=4.933 b=4.933 c=4.933 alpha=60.00 beta=60.00 gamma=60.00
Element x y z (fractional)
1 Lu 0.000 0.000 0.000
2 La 0.500 0.500 0.500
3 Tc 0.750 0.750 0.750
4 Cu 0.250 0.250 0.250